1.
CsLiTePt GGA-PBE relaxed; space group = F-43m; energy above the most stable polymorph in this dataset = 0.00 eV per formula unit
1.0
0.000 3.705 3.705
3.705 0.000 3.705
3.705 3.705 0.000
Li Cs Pt Te
1 1 1 1
direct
0.750 0.750 0.750 Li
0.500 0.500 0.500 Cs
0.250 0.250 0.250 Pt
0.000 0.000 0.000 Te


2.
CsLiPtW GGA-PBE relaxed; space group = F-43m; energy above the most stable polymorph in this dataset = 0.97 eV per formula unit
1.0
0.000 3.573 3.573
3.573 0.000 3.573
3.573 3.573 0.000
Pt Cs Li W
1 1 1 1
direct
0.250 0.250 0.250 Pt
0.500 0.500 0.500 Cs
0.750 0.750 0.750 Li
0.000 0.000 0.000 W


3.
CsLiPtW GGA-PBE relaxed; space group = F-43m; energy above the most stable polymorph in this dataset = 0.00 eV per formula unit
1.0
-4.343 -1.101 -1.635
-3.842 2.214 1.758
-2.396 3.121 -2.696
Li Cs W Pt
1 1 1 1
direct
0.750 0.750 0.750 Li
0.000 0.000 0.000 Cs
0.250 0.250 0.250 W
0.500 0.500 0.500 Pt


4.
CsLiPtW GGA-PBE relaxed; space group = F-43m; energy above the most stable polymorph in this dataset = 2.15 eV per formula unit
1.0
-0.218 -2.389 4.334
-1.054 2.490 4.150
-4.365 -0.664 2.246
Pt Cs W Li
1 1 1 1
direct
0.500 0.500 0.500 Pt
0.250 0.250 0.250 Cs
0.000 0.000 0.000 W
0.750 0.750 0.750 Li


5.
CsLiPuSe3 GGA-PBE relaxed; space group = Cmcm; electronic total energy = -5.92 eV/atom
1.0
-5.370 3.798 4.719
5.359 -5.977 -1.038
7.913 6.430 3.829
Cs Se Li Pu
2 6 2 2
direct
0.740 0.260 0.250 Cs
0.260 0.740 0.750 Cs
0.950 0.050 0.750 Se
0.385 0.615 0.047 Se
0.385 0.615 0.453 Se
0.615 0.385 0.547 Se
0.615 0.385 0.953 Se
0.050 0.950 0.250 Se
0.536 0.464 0.750 Li
0.464 0.536 0.250 Li
0.000 0.000 0.000 Pu
0.000 0.000 0.500 Pu


6.
CsLiPuTe3 GGA-PBE relaxed; space group = Cmcm; electronic total energy = -5.42 eV/atom
1.0
2.288 -8.295 0.000
2.288 8.295 0.000
0.000 0.000 11.673
Te Pu Li Cs
6 2 2 2
direct
0.119 0.881 0.046 Te
0.555 0.445 0.750 Te
0.881 0.119 0.546 Te
0.119 0.881 0.454 Te
0.881 0.119 0.954 Te
0.445 0.555 0.250 Te
0.500 0.500 0.500 Pu
0.500 0.500 0.000 Pu
0.036 0.964 0.250 Li
0.964 0.036 0.750 Li
0.243 0.757 0.750 Cs
0.757 0.243 0.250 Cs


7.
CsLiThSe3 GGA-PBE relaxed; space group = Cmcm; electronic total energy = -5.04 eV/atom
1.0
4.114 7.015 0.084
-7.150 -3.874 -0.050
-0.008 -0.129 11.268
Th Se Li Cs
2 6 2 2
direct
0.500 0.500 0.000 Th
0.500 0.500 0.500 Th
0.449 0.551 0.750 Se
0.119 0.881 0.947 Se
0.119 0.881 0.553 Se
0.881 0.119 0.447 Se
0.881 0.119 0.053 Se
0.551 0.449 0.250 Se
0.037 0.963 0.750 Li
0.963 0.037 0.250 Li
0.759 0.241 0.750 Cs
0.241 0.759 0.250 Cs


8.
CsLiUSe3 GGA-PBE relaxed; space group = Cmcm; electronic total energy = -5.38 eV/atom
1.0
2.128 -7.823 0.000
2.128 7.823 0.000
0.000 0.000 11.006
Se U Cs Li
6 2 2 2
direct
0.117 0.883 0.548 Se
0.548 0.452 0.250 Se
0.883 0.117 0.048 Se
0.452 0.548 0.750 Se
0.883 0.117 0.452 Se
0.117 0.883 0.952 Se
0.500 0.500 0.500 U
0.500 0.500 0.000 U
0.761 0.239 0.750 Cs
0.239 0.761 0.250 Cs
0.040 0.960 0.750 Li
0.960 0.040 0.250 Li